Entry 1:
Entry from the Alexandria database: Eu2PaH4 after structural relaxation (PBE).

Results
For the total energy, the calculation gives -6.35 eV per atom. As for the space-group type: I4/mmm (139).

a b c (Å): 7.2570 7.2570 7.2570
angles (deg): 146.26 146.26 48.46
Atoms (fractional coordinates):
Eu1 0.1505 0.1505 0.0000
Eu2 0.8495 0.8495 0.0000
Pa1 0.5000 0.5000 0.0000
H1 0.0000 0.5000 0.5000
H2 0.3304 0.3304 0.0000
H3 0.5000 0.0000 0.5000
H4 0.6696 0.6696 0.0000

Entry 2:
Entry from the Alexandria database: EuPaH2 after structural relaxation (PBE).

Results
For the total energy, the calculation gives -6.78 eV per atom. As for the space-group type: R-3m (166).

a b c (Å): 6.3596 6.3596 6.3596
angles (deg): 31.47 31.47 31.47
Atoms (fractional coordinates):
Eu1 0.0000 0.0000 0.0000
Pa1 0.5000 0.5000 0.5000
H1 0.2414 0.2414 0.2414
H2 0.7586 0.7586 0.7586

Entry 3:
Entry from the Alexandria database: EuHPb3 after structural relaxation (PBE).

Results
For the total energy, the calculation gives -5.08 eV per atom. As for the space-group type: Pm-3m (221).

a b c (Å): 5.0058 5.0058 5.0058
angles (deg): 90.00 90.00 90.00
Atoms (fractional coordinates):
Eu1 0.0000 0.0000 0.0000
H1 0.5000 0.5000 0.5000
Pb1 0.0000 0.5000 0.5000
Pb2 0.5000 0.0000 0.5000
Pb3 0.5000 0.5000 0.0000

Entry 4:
Entry from the Alexandria database: Eu3HPb after structural relaxation (PBE).

Results
For the total energy, the calculation gives -8.05 eV per atom. As for the space-group type: Pm-3m (221).

a b c (Å): 5.1003 5.1003 5.1003
angles (deg): 90.00 90.00 90.00
Atoms (fractional coordinates):
Eu1 0.0000 0.0000 0.5000
Eu2 0.0000 0.5000 0.0000
Eu3 0.5000 0.0000 0.0000
H1 0.0000 0.0000 0.0000
Pb1 0.5000 0.5000 0.5000

Entry 5:
Entry from the Alexandria database: Eu2HPb after structural relaxation (PBE).

Results
For the total energy, the calculation gives -7.28 eV per atom. As for the space-group type: R-3m (166).

a b c (Å): 8.4633 8.4633 8.4633
angles (deg): 26.01 26.01 26.01
Atoms (fractional coordinates):
Eu1 0.2269 0.2269 0.2269
Eu2 0.7731 0.7731 0.7731
H1 0.5000 0.5000 0.5000
Pb1 0.0000 0.0000 0.0000

Entry 6:
Entry from the Alexandria database: Eu2HPb after structural relaxation (PBE).

Results
For the total energy, the calculation gives -7.16 eV per atom. As for the space-group type: P4/mmm (123).

a b c (Å): 3.5337 3.5337 7.9719
angles (deg): 90.00 90.00 90.00
Atoms (fractional coordinates):
Eu1 0.0000 0.0000 0.2104
Eu2 0.0000 0.0000 0.7896
H1 0.5000 0.5000 0.0000
Pb1 0.5000 0.5000 0.5000